No. 1
## Ce6FePtPb2 (PBE)

Data for a geometry-optimized Ce6FePtPb2 structure. Values from VASP.

Total energy = -6.07 eV/atom
Energy relative to the elements = -317.5 meV/atom
Symmetry = C2/m (12)
M_tot = 0.445 μB per atom

Quantum ESPRESSO input file:
```
&SYSTEM
  ibrav = 0, nat = 10, ntyp = 4
/
ATOMIC_SPECIES
Ce 140.12 Ce.upf
Fe 55.84 Fe.upf
Pt 195.08 Pt.upf
Pb 207.20 Pb.upf
ATOMIC_POSITIONS angstrom
Ce -4.855 -3.132 0.858
Ce -6.596 -3.556 -2.629
Ce -2.856 -4.634 -2.133
Ce -11.108 -3.907 2.035
Ce -7.369 -4.984 2.531
Ce -9.110 -5.409 -0.956
Fe 0.000 0.000 0.000
Pt -4.276 -2.309 -1.708
Pb -8.377 -1.996 0.365
Pb -5.588 -6.544 -0.462
CELL_PARAMETERS angstrom
-7.066 2.240 -0.880
-1.486 -6.858 -2.536
-5.413 -3.922 3.318
```

=====

No. 2
## TeOs2Pt (PBE)

Data for a geometry-optimized TeOs2Pt structure. Values from VASP.

Total energy = -7.11 eV/atom
Symmetry = Pmmm (47)
M_tot = 0.000 μB per atom
Uncorrected formation energy = 0.80 eV/atom

Quantum ESPRESSO input file:
```
&SYSTEM
  ibrav = 0, nat = 4, ntyp = 3
/
ATOMIC_SPECIES
Os 190.23 Os.upf
Pt 195.08 Pt.upf
Te 127.60 Te.upf
ATOMIC_POSITIONS angstrom
Os 0.000 0.000 0.000
Os 1.434 2.421 0.000
Pt 1.434 0.000 2.419
Te 0.000 2.421 2.419
CELL_PARAMETERS angstrom
2.867 0.000 0.000
0.000 4.842 0.000
0.000 0.000 4.838
```